Entry from Alexandria: crystalline ThCo3Si at its relaxed geometry (PBE-GGA).

Values from the calculation:
V (Å³/atom): 15.5
Magnetization (μB per cell): 0.0
Formation energy (no corrections) (meV per atom): -410

a b c (Å): 4.9424 7.7881 6.1237
angles (deg): 129.49 113.80 90.00
Element x y z (fractional)
Co 0.2500 0.9185 0.5000
Co 0.7409 0.2409 0.9817
Co 0.2409 0.2409 0.9817
Co 0.2591 0.7591 0.0183
Co 0.7500 0.0815 0.5000
Co 0.7591 0.7591 0.0183
Th 0.7500 0.7041 0.5000
Th 0.2500 0.2959 0.5000
Si 0.5000 0.0000 0.0000
Si 0.0000 0.5000 0.0000

=====

Entry from Alexandria: crystalline ThCo2Si3 at its relaxed geometry (PBE-GGA).

Values from the calculation:
V (Å³/atom): 14.9
Magnetization (μB per cell): 0.0
Formation energy (no corrections) (meV per atom): -633

a b c (Å): 5.0270 6.0925 6.0925
angles (deg): 106.10 90.00 90.00
Element x y z (fractional)
Co 0.0000 0.8073 0.1927
Co 0.5000 0.1927 0.8073
Co 0.5000 0.8073 0.1927
Co 0.0000 0.1927 0.8073
Th 0.7500 0.6619 0.6619
Th 0.2500 0.3381 0.3381
Si 0.7500 0.0749 0.0749
Si 0.2500 0.9251 0.9251
Si 0.2500 0.9074 0.5213
Si 0.2500 0.5213 0.9074
Si 0.7500 0.0926 0.4787
Si 0.7500 0.4787 0.0926

=====

Entry from Alexandria: crystalline Th2Co2Si3 at its relaxed geometry (PBE-GGA).

Values from the calculation:
V (Å³/atom): 17.4
Energy above the lowest structure with this stoichiometry (kcal/mol of atoms): 0.999
Magnetization (μB per cell): 0.0
Formation energy (no corrections) (meV per atom): -619

a b c (Å): 3.8913 5.6501 6.8918
angles (deg): 119.11 90.00 110.14
Element x y z (fractional)
Th 0.8648 0.7295 0.2323
Th 0.1352 0.2705 0.7677
Si 0.3501 0.7001 0.5695
Si 0.5000 0.0000 0.0000
Si 0.6499 0.2999 0.4305
Co 0.8691 0.7382 0.7845
Co 0.1309 0.2618 0.2155

=====

Entry from Alexandria: crystalline ThCo4Si12 at its relaxed geometry (PBE-GGA).

Values from the calculation:
V (Å³/atom): 15.3
Magnetization (μB per cell): 0.0
Formation energy (no corrections) (meV per atom): -207

a b c (Å): 6.9699 6.9699 6.9699
angles (deg): 109.47 109.47 109.47
Element x y z (fractional)
Si 0.1692 0.6499 0.8190
Si 0.5193 0.1692 0.3501
Si 0.8308 0.6499 0.4807
Si 0.1810 0.8308 0.3501
Si 0.1692 0.3501 0.5193
Si 0.6499 0.8190 0.1692
Si 0.8190 0.1692 0.6499
Si 0.3501 0.1810 0.8308
Si 0.4807 0.8308 0.6499
Si 0.8308 0.3501 0.1810
Si 0.6499 0.4807 0.8308
Si 0.3501 0.5193 0.1692
Co 0.0000 0.5000 0.0000
Co 0.5000 0.0000 0.0000
Co 0.5000 0.5000 0.5000
Co 0.0000 0.0000 0.5000
Th 0.0000 0.0000 0.0000

=====

Entry from Alexandria: crystalline Th2CoSi3 at its relaxed geometry (PBE-GGA).

Values from the calculation:
V (Å³/atom): 19.7
Energy above the lowest structure with this stoichiometry (kcal/mol of atoms): 2.250
Magnetization (μB per cell): 0.0
Formation energy (no corrections) (meV per atom): -721

a b c (Å): 4.0877 4.0877 8.1757
angles (deg): 90.00 90.00 120.00
Element x y z (fractional)
Th 0.3333 0.6667 0.7597
Th 0.3333 0.6667 0.2403
Co 0.0000 0.0000 0.0000
Si 0.6667 0.3333 0.5000
Si 0.6667 0.3333 0.0000
Si 0.0000 0.0000 0.5000

=====

Entry from Alexandria: crystalline TmThCo2Si2 at its relaxed geometry (PBE-GGA).

Values from the calculation:
V (Å³/atom): 18.2
Magnetization (μB per cell): 0.0
Formation energy (no corrections) (meV per atom): -694

a b c (Å): 3.9764 3.9764 7.9908
angles (deg): 90.00 90.00 120.00
Element x y z (fractional)
Si 0.3333 0.6667 0.2658
Si 0.6667 0.3333 0.7342
Co 0.3333 0.6667 0.7533
Co 0.6667 0.3333 0.2467
Tm 0.0000 0.0000 0.5000
Th 0.0000 0.0000 0.0000

=====

Entry from Alexandria: crystalline Th2UCo12Si3 at its relaxed geometry (PBE-GGA).

Values from the calculation:
V (Å³/atom): 15.2
Magnetization (μB per cell): 0.0
Formation energy (no corrections) (meV per atom): 142

a b c (Å): 7.0648 7.0648 7.0648
angles (deg): 64.59 64.59 64.59
Element x y z (fractional)
Si 0.5000 0.0000 0.0000
Si 0.0000 0.5000 0.0000
Si 0.0000 0.0000 0.5000
Co 0.0963 0.6350 0.6350
Co 0.6350 0.6350 0.0963
Co 0.6350 0.0963 0.6350
Co 0.9037 0.3650 0.3650
Co 0.3819 0.8584 0.8584
Co 0.8584 0.3819 0.8584
Co 0.6181 0.1416 0.1416
Co 0.3650 0.3650 0.9037
Co 0.1416 0.1416 0.6181
Co 0.3650 0.9037 0.3650
Co 0.8584 0.8584 0.3819
Co 0.1416 0.6181 0.1416
Th 0.3959 0.3959 0.3959
Th 0.6041 0.6041 0.6041
U 0.0000 0.0000 0.0000

=====

Entry from Alexandria: crystalline Th2Co12Si3W at its relaxed geometry (PBE-GGA).

Values from the calculation:
V (Å³/atom): 14.6
Magnetization (μB per cell): 8.5
Formation energy (no corrections) (meV per atom): 116

a b c (Å): 9.0818 9.0818 9.0818
angles (deg): 38.68 38.68 38.68
Element x y z (fractional)
Co 0.9242 0.9242 0.3695
Co 0.6305 0.0758 0.0758
Co 0.0758 0.0758 0.6305
Co 0.8130 0.4115 0.4115
Co 0.4115 0.4115 0.8130
Co 0.9242 0.3695 0.9242
Co 0.0758 0.6305 0.0758
Co 0.1870 0.5885 0.5885
Co 0.5885 0.5885 0.1870
Co 0.4115 0.8130 0.4115
Co 0.5885 0.1870 0.5885
Co 0.3695 0.9242 0.9242
Th 0.6496 0.6496 0.6496
Th 0.3504 0.3504 0.3504
Si 0.0000 0.5000 0.0000
Si 0.5000 0.0000 0.0000
Si 0.0000 0.0000 0.5000
W 0.0000 0.0000 0.0000

=====

Entry from Alexandria: crystalline ThZn2Co2Si at its relaxed geometry (PBE-GGA).

Values from the calculation:
V (Å³/atom): 17.2
Magnetization (μB per cell): 1.7
Formation energy (no corrections) (meV per atom): -169

a b c (Å): 4.2588 4.2588 5.6834
angles (deg): 90.00 90.00 90.00
Element x y z (fractional)
Th 0.0000 0.0000 0.5000
Zn 0.5000 0.5000 0.2600
Zn 0.5000 0.5000 0.7400
Co 0.0000 0.5000 0.0000
Co 0.5000 0.0000 0.0000
Si 0.0000 0.0000 0.0000

=====

Entry from Alexandria: crystalline TiCo5Si at its relaxed geometry (PBE-GGA).

Values from the calculation:
V (Å³/atom): 12.0
Magnetization (μB per cell): 4.3
Formation energy (no corrections) (meV per atom): -191

a b c (Å): 3.7376 3.7376 6.0296
angles (deg): 90.00 90.00 90.00
Element x y z (fractional)
Co 0.0000 0.5000 0.2204
Co 0.5000 0.0000 0.2204
Co 0.0000 0.5000 0.7796
Co 0.5000 0.0000 0.7796
Co 0.5000 0.5000 0.5000
Ti 0.0000 0.0000 0.5000
Si 0.5000 0.5000 0.0000

=====

Entry from Alexandria: crystalline Ti3CoSi at its relaxed geometry (PBE-GGA).

Values from the calculation:
V (Å³/atom): 19.0
Energy above the lowest structure with this stoichiometry (kcal/mol of atoms): 11.192
Magnetization (μB per cell): 1.4
Formation energy (no corrections) (meV per atom): 611

a b c (Å): 4.5655 4.5655 4.5655
angles (deg): 90.00 90.00 90.00
Element x y z (fractional)
Co 0.5000 0.5000 0.5000
Ti 0.0000 0.0000 0.5000
Ti 0.0000 0.5000 0.0000
Ti 0.5000 0.0000 0.0000
Si 0.0000 0.0000 0.0000

=====

Entry from Alexandria: crystalline Ti2Co2Si at its relaxed geometry (PBE-GGA).

Values from the calculation:
V (Å³/atom): 13.2
Magnetization (μB per cell): 0.0
Formation energy (no corrections) (meV per atom): -449

a b c (Å): 6.5622 6.5622 3.0644
angles (deg): 90.00 90.00 90.00
Element x y z (fractional)
Co 0.6335 0.1335 0.0000
Co 0.3665 0.8665 0.0000
Co 0.1335 0.3665 0.0000
Co 0.8665 0.6335 0.0000
Ti 0.8272 0.3272 0.5000
Ti 0.6728 0.8272 0.5000
Ti 0.3272 0.1728 0.5000
Ti 0.1728 0.6728 0.5000
Si 0.5000 0.5000 0.0000
Si 0.0000 0.0000 0.0000